Entry from Alexandria: crystalline MgNiTe2 at its relaxed geometry (GGA-PBE).

Computed properties:
Uncorrected formation energy, eV/f.u.: -0.5
ρ, kg/m³: 5847
Relative energy among the computed polymorphs, kJ/mol of formula units: 92

```
data_MgNiTe2
_chemical_formula_sum 'Mg2 Ni2 Te4'
_cell_length_a 6.1873
_cell_length_b 8.0943
_cell_length_c 3.8356
_cell_angle_alpha 90.00
_cell_angle_beta 90.00
_cell_angle_gamma 90.00
_space_group_name_H-M_alt 'C m m m'
_space_group_IT_number 65
_space_group_name_Hall '-C 2 2'
loop_
_atom_site_label
_atom_site_fract_x
_atom_site_fract_y
_atom_site_fract_z
Mg1 0.0000 0.0000 0.0000
Ni1 0.0000 0.5000 0.0000
Te1 0.0000 0.2922 0.5000
```